Entry 1:
## La4Mg3 (meta-GGA SCAN)

Data for La4Mg3 at its PBEsol-relaxed geometry.

POSCAR file:
```
La4Mg3
1.0
-3.5006 2.4914 -4.3109
0.7268 -6.0390 0.2163
-5.2196 -0.4865 3.9574
La Mg
4 3
direct
0.0000 0.0000 0.2753
0.6667 0.3333 0.5000
0.3333 0.6667 0.5000
0.0000 0.0000 0.7247
0.5000 0.5000 0.0000
0.5000 0.0000 0.0000
0.0000 0.5000 0.0000
```

Values from the calculation:
calculated density: 5.0 g cm⁻³
calculated formation energy: -0.34 eV per formula unit



Entry 2:
## LaMg (meta-GGA SCAN)

Data for LaMg at its PBEsol-relaxed geometry.

POSCAR file:
```
LaMg
1.0
3.6666 0.0000 0.0000
-1.8333 6.4153 0.0121
0.0000 -2.3096 7.2605
La Mg
3 3
direct
0.0147 0.0293 0.0411
0.3597 0.7194 0.2455
0.3657 0.7315 0.7012
0.6952 0.3904 0.8848
0.0566 0.1132 0.5764
0.6747 0.3495 0.3844
```

Values from the calculation:
calculated density: 4.8 g cm⁻³
calculated formation energy: -0.15 eV per formula unit
offset from the most stable computed form: 60 meV/atom



Entry 3:
## LaMg5 (meta-GGA SCAN)

Data for LaMg5 at its PBEsol-relaxed geometry.

POSCAR file:
```
LaMg5
1.0
5.0171 0.0000 0.0000
0.0000 4.9967 0.0000
-2.5085 0.0000 6.0570
La Mg
1 5
direct
0.5000 0.0000 0.0000
0.1792 0.0000 0.3585
0.6733 0.5000 0.3467
0.3267 0.5000 0.6533
0.0000 0.5000 0.0000
0.8208 0.0000 0.6415
```

Values from the calculation:
calculated density: 2.8 g cm⁻³
calculated formation energy: -0.26 eV per formula unit



Entry 4:
## La2Mg (meta-GGA SCAN)

Data for La2Mg at its PBEsol-relaxed geometry.

POSCAR file:
```
La2Mg
1.0
-1.8666 2.6304 1.5259
-1.6900 -2.5718 -1.8058
-0.6413 -4.6207 7.1808
La Mg
2 1
direct
0.6667 0.3333 0.6714
0.3333 0.6667 0.3286
0.0000 0.0000 0.0000
```

Values from the calculation:
calculated density: 5.3 g cm⁻³
calculated formation energy: 0.04 eV per formula unit
offset from the most stable computed form: 105 meV/atom



Entry 5:
## LaMg5 (meta-GGA SCAN)

Data for LaMg5 at its PBEsol-relaxed geometry.

POSCAR file:
```
LaMg5
1.0
-2.0478 0.8409 -2.7634
1.0719 -2.9242 -1.6842
-8.9771 -6.0601 4.8084
Mg La
5 1
direct
0.5000 0.5000 0.3475
0.5000 0.5000 0.6525
0.0000 0.0000 0.8020
0.0000 0.0000 0.5000
0.0000 0.0000 0.1980
0.5000 0.5000 0.0000
```

Values from the calculation:
calculated density: 2.9 g cm⁻³
calculated formation energy: -0.32 eV per formula unit



Entry 6:
## LaMg (meta-GGA SCAN)

Data for LaMg at its PBEsol-relaxed geometry.

POSCAR file:
```
LaMg
1.0
-1.8953 3.2690 0.3341
-1.9558 -1.6422 4.9727
7.5126 1.7922 3.5467
Mg La
3 3
direct
0.3052 0.0000 0.6104
0.1286 0.5000 0.2572
0.4831 0.5000 0.9662
0.9730 0.0000 0.9460
0.8057 0.5000 0.6114
0.6377 0.0000 0.2754
```

Values from the calculation:
calculated density: 4.6 g cm⁻³
calculated formation energy: -0.20 eV per formula unit
offset from the most stable computed form: 34 meV/atom



Entry 7:
## La2Mg (meta-GGA SCAN)

Data for La2Mg at its PBEsol-relaxed geometry.

POSCAR file:
```
La2Mg
1.0
-1.9198 4.2413 -1.6817
-4.3946 -1.2284 1.9185
6.9089 5.3363 12.8567
Mg La
4 8
direct
0.3354 0.8354 0.6708
0.1646 0.6646 0.3292
0.9146 0.9146 0.8292
0.0854 0.0854 0.1708
0.9976 0.4976 0.9951
0.5860 0.5860 0.1720
0.4140 0.4140 0.8280
0.7476 0.7476 0.4951
0.2524 0.2524 0.5049
0.5024 0.0024 0.0049
0.6640 0.1640 0.3280
0.8360 0.3360 0.6720
```

Values from the calculation:
calculated density: 5.4 g cm⁻³
calculated formation energy: -0.11 eV per formula unit
offset from the most stable computed form: 55 meV/atom



Entry 8:
## LaMg (meta-GGA SCAN)

Data for LaMg at its PBEsol-relaxed geometry.

POSCAR file:
```
LaMg
1.0
-4.6859 -0.0318 -0.9525
0.6895 -3.4123 -3.2781
1.2948 -1.8595 5.6955
Mg La
2 2
direct
0.7500 0.2500 0.5000
0.5000 0.5000 0.0000
0.2500 0.7500 0.5000
0.0000 0.0000 0.0000
```

Values from the calculation:
calculated density: 4.6 g cm⁻³
calculated formation energy: -0.11 eV per formula unit
offset from the most stable computed form: 82 meV/atom



Question: Among the records above, which one has the highest calculated formation energy?
Answer: number 4



Question: Among the records above, which one has the lowest calculated density?
Answer: number 3



Question: Look up the calculated density of the third one.
Answer: 2.8 g cm⁻³